VASP calculation (GGA-PBE) on a geometry-optimized SbOsAu2 structure.

Cell lengths 4.8997, 4.8997, 5.0201 Å; angles 79.23, 79.23, 38.85 degrees
Fractional positions:
Au (0.0087, 0.0087, 0.9694)
Au (0.7583, 0.7583, 0.7650)
Os (0.5009, 0.5009, 0.4664)
Sb (0.2322, 0.2322, 0.2992)

Computed properties:
The value obtained for the calculated volume is 74.1 Å³/cell. As for the space group: Cm, No. 8. As for the calculated total energy: -0.368 Ry/atom. The value obtained for the density of states at the Fermi level is 2.41 states/eV/f.u. As for the spin magnetization: 0.00 μB per formula unit. Its theoretical density is 15.82 g cm⁻³. The calculation puts the uncorrected formation energy at 472 meV/atom.

=====

VASP calculation (GGA-PBE) on a geometry-optimized Sb2OsAu structure.

Cell lengths 3.2328, 3.9324, 7.1142 Å; angles 90.00, 90.00, 90.00 degrees
Fractional positions:
Au (0.0000, 0.0000, 0.5141)
Os (0.5000, 0.5000, 0.7351)
Sb (0.0000, 0.0000, 0.9067)
Sb (0.5000, 0.5000, 0.3440)

Computed properties:
The value obtained for the calculated volume is 90.4 Å³/cell. As for the space group: Pmm2, No. 25. As for the calculated total energy: -0.387 Ry/atom. The value obtained for the density of states at the Fermi level is 3.69 states/eV/f.u. As for the spin magnetization: 0.00 μB per formula unit. Its theoretical density is 11.58 g cm⁻³. The calculation puts the uncorrected formation energy at 429 meV/atom. The calculation puts the relative energy among the computed polymorphs at 137.5 meV/atom.

=====

VASP calculation (GGA-PBE) on a geometry-optimized SbOsAu2 structure.

Cell lengths 5.0725, 5.0725, 5.0725 Å; angles 131.25, 131.25, 71.42 degrees
Fractional positions:
Au (0.0000, 0.0000, 0.0000)
Au (0.2500, 0.7500, 0.5000)
Os (0.5000, 0.5000, 0.0000)
Sb (0.7500, 0.2500, 0.5000)

Computed properties:
The value obtained for the calculated volume is 72.2 Å³/cell. As for the space group: I-4m2, No. 119. As for the calculated total energy: -0.363 Ry/atom. The value obtained for the density of states at the Fermi level is 3.01 states/eV/f.u. As for the spin magnetization: 0.00 μB per formula unit. Its theoretical density is 16.23 g cm⁻³. The calculation puts the uncorrected formation energy at 533 meV/atom.

=====

VASP calculation (GGA-PBE) on a geometry-optimized SbOsAu2 structure.

Cell lengths 4.7199, 2.8942, 5.6420 Å; angles 75.90, 90.00, 90.00 degrees
Fractional positions:
Au (0.0000, 0.9451, 0.9976)
Au (0.5000, 0.2999, 0.2637)
Os (0.0000, 0.6830, 0.5059)
Sb (0.5000, 0.5720, 0.7328)

Computed properties:
The value obtained for the calculated volume is 74.7 Å³/cell. As for the space group: Pm, No. 6. As for the calculated total energy: -0.360 Ry/atom. The value obtained for the density of states at the Fermi level is 2.80 states/eV/f.u. As for the spin magnetization: 0.00 μB per formula unit. Its theoretical density is 15.68 g cm⁻³. The calculation puts the uncorrected formation energy at 577 meV/atom.

=====

VASP calculation (GGA-PBE) on a geometry-optimized Sb4OsAu structure.

Cell lengths 5.9944, 5.9944, 5.9944 Å; angles 60.00, 60.00, 60.00 degrees
Last column: magnetic moment on the atom in μB.
Fractional positions:
Sb (0.8750, 0.3750, 0.3750)  0.01
Sb (0.3750, 0.3750, 0.8750)  0.01
Sb (0.3750, 0.8750, 0.3750)  0.01
Sb (0.3750, 0.3750, 0.3750)  0.01
Os (0.0000, 0.0000, 0.0000)  1.77
Au (0.7500, 0.7500, 0.7500)  0.01

Computed properties:
The value obtained for the calculated volume is 152.3 Å³/cell. As for the space group: F-43m, No. 216. As for the calculated total energy: -0.289 Ry/atom. The value obtained for the density of states at the Fermi level is 5.61 states/eV/f.u. As for the spin magnetization: 2.04 μB per formula unit. Its theoretical density is 9.53 g cm⁻³. The calculation puts the uncorrected formation energy at 1229 meV/atom. The calculation puts the relative energy among the computed polymorphs at 1232.4 meV/atom.

=====

VASP calculation (GGA-PBE) on a geometry-optimized SbOsAu2 structure.

Cell lengths 7.7190, 7.7190, 6.0689 Å; angles 50.51, 50.51, 90.00 degrees
Fractional positions:
Os (0.0000, 0.0000, 0.0000)
Os (0.7500, 0.2500, 0.5000)
Au (0.6390, 0.1250, 0.2500)
Au (0.1110, 0.6250, 0.2500)
Au (0.3750, 0.3610, 0.7500)
Au (0.8750, 0.8890, 0.7500)
Sb (0.5000, 0.5000, 0.0000)
Sb (0.2500, 0.7500, 0.5000)

Computed properties:
The value obtained for the calculated volume is 158.1 Å³/cell. As for the space group: I-42d, No. 122. As for the calculated total energy: -0.357 Ry/atom. The value obtained for the density of states at the Fermi level is 4.01 states/eV/f.u. As for the spin magnetization: 0.00 μB per formula unit. Its theoretical density is 14.83 g cm⁻³. The calculation puts the uncorrected formation energy at 616 meV/atom.

=====

VASP calculation (GGA-PBE) on a geometry-optimized SbOsAu2 structure.

Cell lengths 3.1420, 4.5694, 5.0994 Å; angles 90.00, 90.00, 90.00 degrees
Fractional positions:
Au (0.0000, 0.0000, 0.0000)
Au (0.5000, 0.5000, 0.0000)
Os (0.5000, 0.0000, 0.5000)
Sb (0.0000, 0.5000, 0.5000)

Computed properties:
The value obtained for the calculated volume is 73.2 Å³/cell. As for the space group: Pmmm, No. 47. As for the calculated total energy: -0.362 Ry/atom. The value obtained for the density of states at the Fermi level is 3.83 states/eV/f.u. As for the spin magnetization: 0.00 μB per formula unit. Its theoretical density is 16.01 g cm⁻³. The calculation puts the uncorrected formation energy at 547 meV/atom.

=====

VASP calculation (GGA-PBE) on a geometry-optimized SbOsAu structure.

Cell lengths 8.2417, 7.9935, 2.9490 Å; angles 84.32, 74.82, 20.86 degrees
Fractional positions:
Au (0.9810, 0.9810, 0.0190)
Os (0.3290, 0.3290, 0.6710)
Sb (0.6900, 0.6900, 0.3100)

Computed properties:
The value obtained for the calculated volume is 60.5 Å³/cell. As for the space group: Fmm2, No. 42. As for the calculated total energy: -0.401 Ry/atom. The value obtained for the density of states at the Fermi level is 2.68 states/eV/f.u. As for the spin magnetization: 0.00 μB per formula unit. Its theoretical density is 13.98 g cm⁻³. The calculation puts the uncorrected formation energy at 752 meV/atom. The calculation puts the relative energy among the computed polymorphs at 352.8 meV/atom.

=====

VASP calculation (GGA-PBE) on a geometry-optimized Sb2OsAu structure.

Cell lengths 4.4540, 3.4479, 5.5217 Å; angles 71.91, 90.00, 90.00 degrees
Fractional positions:
Au (0.0000, 0.7205, 0.4386)
Os (0.5000, 0.5359, 0.8001)
Sb (0.0000, 0.9787, 0.9151)
Sb (0.5000, 0.2649, 0.3462)

Computed properties:
The value obtained for the calculated volume is 80.6 Å³/cell. As for the space group: Pm, No. 6. As for the calculated total energy: -0.392 Ry/atom. The value obtained for the density of states at the Fermi level is 2.68 states/eV/f.u. As for the spin magnetization: 0.00 μB per formula unit. Its theoretical density is 12.99 g cm⁻³. The calculation puts the uncorrected formation energy at 361 meV/atom. The calculation puts the relative energy among the computed polymorphs at 69.4 meV/atom.

=====

VASP calculation (GGA-PBE) on a geometry-optimized SbOsAu2 structure.

Cell lengths 4.9364, 4.9364, 3.2964 Å; angles 90.00, 90.00, 113.05 degrees
Fractional positions:
Au (0.0000, 0.0000, 0.0000)
Au (0.5000, 0.5000, 0.0000)
Os (0.5000, 0.0000, 0.5000)
Sb (0.0000, 0.5000, 0.5000)

Computed properties:
The value obtained for the calculated volume is 73.9 Å³/cell. As for the space group: Cmmm, No. 65. As for the calculated total energy: -0.360 Ry/atom. The value obtained for the density of states at the Fermi level is 2.87 states/eV/f.u. As for the spin magnetization: 0.00 μB per formula unit. Its theoretical density is 15.86 g cm⁻³. The calculation puts the uncorrected formation energy at 574 meV/atom.

=====

VASP calculation (GGA-PBE) on a geometry-optimized SbOsAu2 structure.

Cell lengths 5.4633, 5.4633, 5.4633 Å; angles 137.58, 137.58, 61.55 degrees
Last column: magnetic moment on the atom in μB.
Fractional positions:
Au (0.0000, 0.0000, 0.0000)  0.03
Au (0.5000, 0.5000, 0.0000)  0.03
Os (0.2500, 0.7500, 0.5000)  0.59
Sb (0.7500, 0.2500, 0.5000)  -0.01

Computed properties:
The value obtained for the calculated volume is 73.4 Å³/cell. As for the space group: I4/mmm, No. 139. As for the calculated total energy: -0.359 Ry/atom. The value obtained for the density of states at the Fermi level is 4.47 states/eV/f.u. As for the spin magnetization: 0.70 μB per formula unit. Its theoretical density is 15.98 g cm⁻³. The calculation puts the uncorrected formation energy at 595 meV/atom.

=====

VASP calculation (GGA-PBE) on a geometry-optimized Sb2OsAu structure.

Cell lengths 7.8388, 4.8952, 3.3340 Å; angles 90.12, 64.66, 130.91 degrees
Fractional positions:
Au (0.0000, 0.5000, 0.5000)
Os (0.5000, 0.5000, 0.0000)
Sb (0.0000, 0.0000, 0.0000)
Sb (0.5000, 0.0000, 0.5000)

Computed properties:
The value obtained for the calculated volume is 79.8 Å³/cell. As for the space group: C2/m, No. 12. As for the calculated total energy: -0.376 Ry/atom. The value obtained for the density of states at the Fermi level is 3.15 states/eV/f.u. As for the spin magnetization: 0.00 μB per formula unit. Its theoretical density is 13.12 g cm⁻³. The calculation puts the uncorrected formation energy at 568 meV/atom. The calculation puts the relative energy among the computed polymorphs at 277.1 meV/atom.

=====

VASP calculation (GGA-PBE) on a geometry-optimized Sb2OsAu structure.

Cell lengths 4.8653, 4.8653, 4.8653 Å; angles 60.00, 60.00, 60.00 degrees
Fractional positions:
Au (0.5000, 0.5000, 0.5000)
Os (0.2500, 0.2500, 0.2500)
Sb (0.0000, 0.0000, 0.0000)
Sb (0.7500, 0.7500, 0.7500)

Computed properties:
The value obtained for the calculated volume is 81.4 Å³/cell. As for the space group: F-43m, No. 216. As for the calculated total energy: -0.356 Ry/atom. The value obtained for the density of states at the Fermi level is 4.82 states/eV/f.u. As for the spin magnetization: 0.00 μB per formula unit. Its theoretical density is 12.86 g cm⁻³. The calculation puts the uncorrected formation energy at 839 meV/atom. The calculation puts the relative energy among the computed polymorphs at 548.1 meV/atom.

=====

VASP calculation (GGA-PBE) on a geometry-optimized SbOsAu2 structure.

Cell lengths 9.7824, 9.7824, 9.7824 Å; angles 17.69, 17.69, 17.69 degrees
Last column: magnetic moment on the atom in μB.
Fractional positions:
Au (0.9938, 0.9938, 0.9938)  0.05
Au (0.5062, 0.5062, 0.5062)  0.05
Os (0.2500, 0.2500, 0.2500)  0.78
Sb (0.7500, 0.7500, 0.7500)  -0.01

Computed properties:
The value obtained for the calculated volume is 75.4 Å³/cell. As for the space group: R-3m, No. 166. As for the calculated total energy: -0.354 Ry/atom. The value obtained for the density of states at the Fermi level is 4.32 states/eV/f.u. As for the spin magnetization: 0.90 μB per formula unit. Its theoretical density is 15.54 g cm⁻³. The calculation puts the uncorrected formation energy at 666 meV/atom.

=====

VASP calculation (GGA-PBE) on a geometry-optimized Sb3OsAu structure.

Cell lengths 5.1334, 5.1334, 5.1334 Å; angles 90.00, 90.00, 90.00 degrees
Fractional positions:
Os (0.0000, 0.0000, 0.0000)
Au (0.5000, 0.5000, 0.5000)
Sb (0.0000, 0.5000, 0.0000)
Sb (0.0000, 0.0000, 0.5000)
Sb (0.5000, 0.0000, 0.0000)

Computed properties:
The value obtained for the calculated volume is 135.3 Å³/cell. As for the space group: Pm-3m, No. 221. As for the calculated total energy: -0.343 Ry/atom. The value obtained for the density of states at the Fermi level is 1.98 states/eV/f.u. As for the spin magnetization: 0.00 μB per formula unit. Its theoretical density is 9.24 g cm⁻³. The calculation puts the uncorrected formation energy at 702 meV/atom. The calculation puts the relative energy among the computed polymorphs at 0.0 meV/atom.

=====

VASP calculation (GGA-PBE) on a geometry-optimized Sb2OsAu structure.

Cell lengths 3.1925, 3.1925, 8.3749 Å; angles 90.00, 90.00, 90.00 degrees
Fractional positions:
Au (0.0000, 0.0000, 0.5272)
Os (0.5000, 0.5000, 0.7516)
Sb (0.0000, 0.0000, 0.9308)
Sb (0.5000, 0.5000, 0.2903)

Computed properties:
The value obtained for the calculated volume is 85.4 Å³/cell. As for the space group: P4mm, No. 99. As for the calculated total energy: -0.389 Ry/atom. The value obtained for the density of states at the Fermi level is 3.53 states/eV/f.u. As for the spin magnetization: 0.00 μB per formula unit. Its theoretical density is 12.27 g cm⁻³. The calculation puts the uncorrected formation energy at 393 meV/atom. The calculation puts the relative energy among the computed polymorphs at 101.9 meV/atom.